This record from Alexandria describes a geometry-optimized Li2VIrO6 structure. The functional is PBE with a Hubbard U.

abc: 5.4479 5.4479 3.8340
angles: 90.00 90.00 90.00
Space group P4mm (No. 99)
One atom of each set of equivalent atoms:
1 Li 0.0000 0.5000 0.0000 [2 per cell]
2 V 0.0000 0.0000 0.7434 [1 per cell]
3 Ir 0.5000 0.5000 0.8014 [1 per cell]
4 O 0.0000 0.0000 0.3079 [1 per cell]
5 O 0.2437 0.2437 0.8222 [4 per cell]
6 O 0.5000 0.5000 0.3056 [1 per cell]

Computed properties:
- DOS(E_F): 3.665 states/eV/f.u.
- M_tot: 0.0480 μB/atom
- Calculated total energy: -6.388 eV per atom